Entry 1:
{"formula": "Sr2NpBe2O6", "functional": "PBE", "state": "optimized geometry", "dos_at_fermi_per_ev_cell": 11.9, "formation_energy_uncorrected_mev_per_atom": -2671, "spacegroup": "No. 147", "cell": [[5.593, 0.000, 0.000], [-2.796, 4.843, 0.000], [0.000, 0.000, 6.016]], "species": ["Sr", "Sr", "Np", "Be", "Be", "O", "O", "O", "O", "O", "O"], "fractional_positions": [[0.333, 0.667, 0.340], [0.667, 0.333, 0.660], [0.000, 0.000, 0.000], [0.333, 0.667, 0.806], [0.667, 0.333, 0.194], [0.101, 0.736, 0.779], [0.264, 0.364, 0.779], [0.364, 0.101, 0.221], [0.636, 0.899, 0.779], [0.736, 0.636, 0.221], [0.899, 0.264, 0.221]]}


Entry 2:
{"formula": "Dy2TlPt", "functional": "PBE", "state": "optimized geometry", "dos_at_fermi_per_ev_cell": 3.5, "e_form_kcal_per_mol_atoms": -16.0, "relative_energy_ev_per_atom": 0.099, "spacegroup": "No. 225", "cell": [[0.000, 3.641, 3.641], [3.641, 0.000, 3.641], [3.641, 3.641, 0.000]], "species": ["Dy", "Dy", "Tl", "Pt"], "fractional_positions": [[0.250, 0.250, 0.250], [0.750, 0.750, 0.750], [0.000, 0.000, 0.000], [0.500, 0.500, 0.500]]}


Entry 3:
{"formula": "LiAcHo2", "functional": "PBE", "state": "optimized geometry", "dos_at_fermi_per_ev_cell": 4.0, "e_form_kcal_per_mol_atoms": 6.2, "relative_energy_ev_per_atom": 0.158, "spacegroup": "No. 225", "cell": [[0.000, 4.020, 4.020], [4.020, 0.000, 4.020], [4.020, 4.020, 0.000]], "species": ["Li", "Ac", "Ho", "Ho"], "fractional_positions": [[0.000, 0.000, 0.000], [0.500, 0.500, 0.500], [0.250, 0.250, 0.250], [0.750, 0.750, 0.750]]}


Entry 4:
{"formula": "Rb5UTe5", "functional": "PBE", "state": "optimized geometry", "dos_at_fermi_per_ev_cell": 2.0, "formation_energy_uncorrected_mev_per_atom": -882, "spacegroup": "No. 12", "cell": [[8.402, -3.378, 0.000], [8.402, 3.378, 0.000], [-3.268, 0.000, 9.362]], "species": ["Rb", "Rb", "Rb", "Rb", "Rb", "U", "Te", "Te", "Te", "Te", "Te"], "fractional_positions": [[0.000, 0.000, 0.000], [0.302, 0.302, 0.189], [0.324, 0.324, 0.653], [0.676, 0.676, 0.347], [0.698, 0.698, 0.811], [0.000, 0.000, 0.500], [0.130, 0.130, 0.357], [0.137, 0.137, 0.787], [0.500, 0.500, 0.500], [0.863, 0.863, 0.213], [0.870, 0.870, 0.643]]}


Entry 5:
{"formula": "Tb2HfZr", "functional": "PBE", "state": "optimized geometry", "dos_at_fermi_per_ev_cell": 5.3, "e_form_kcal_per_mol_atoms": 3.7, "relative_energy_ev_per_atom": 0.000, "spacegroup": "No. 160", "cell": [[1.679, 0.969, 10.852], [-1.679, 0.969, 10.852], [0.000, -1.938, 10.852]], "species": ["Tb", "Tb", "Hf", "Zr"], "fractional_positions": [[0.000, 0.000, 0.000], [0.168, 0.168, 0.168], [0.584, 0.584, 0.584], [0.418, 0.418, 0.418]]}


Entry 6:
{"formula": "Tm2BC2", "functional": "PBE", "state": "optimized geometry", "dos_at_fermi_per_ev_cell": 3.1, "e_form_kcal_per_mol_atoms": -5.9, "spacegroup": "No. 12", "cell": [[5.138, -2.496, 0.000], [5.138, 2.496, 0.000], [-4.489, 0.000, 5.393]], "species": ["Tm", "Tm", "Tm", "Tm", "B", "B", "C", "C", "C", "C"], "fractional_positions": [[0.091, 0.091, 0.310], [0.332, 0.332, 0.950], [0.668, 0.668, 0.050], [0.909, 0.909, 0.690], [0.371, 0.371, 0.340], [0.629, 0.629, 0.660], [0.184, 0.184, 0.086], [0.445, 0.445, 0.625], [0.555, 0.555, 0.375], [0.816, 0.816, 0.914]]}


Entry 7:
{"formula": "Dy2CoSi", "functional": "PBE", "state": "optimized geometry", "dos_at_fermi_per_ev_cell": 1.9, "relative_energy_ev_per_atom": 0.894, "formation_energy_uncorrected_mev_per_atom": 359, "spacegroup": "No. 166", "cell": [[1.683, 0.972, 9.186], [-1.683, 0.972, 9.186], [0.000, -1.943, 9.186]], "species": ["Dy", "Dy", "Co", "Si"], "fractional_positions": [[0.089, 0.089, 0.089], [0.911, 0.911, 0.911], [0.000, 0.000, 0.000], [0.500, 0.500, 0.500]]}


Entry 8:
{"formula": "Tl2In3Pb4", "functional": "PBE", "state": "optimized geometry", "dos_at_fermi_per_ev_cell": 4.3, "e_form_kcal_per_mol_atoms": 1.1, "relative_energy_ev_per_atom": 0.008, "spacegroup": "No. 156", "cell": [[3.441, 0.000, 0.000], [-1.720, 2.980, 0.000], [0.000, 0.000, 26.677]], "species": ["Tl", "Tl", "In", "In", "In", "Pb", "Pb", "Pb", "Pb"], "fractional_positions": [[0.000, 0.000, 0.000], [0.000, 0.000, 0.209], [0.000, 0.000, 0.776], [0.333, 0.667, 0.105], [0.333, 0.667, 0.443], [0.000, 0.000, 0.336], [0.000, 0.000, 0.554], [0.333, 0.667, 0.666], [0.333, 0.667, 0.884]]}


Entry 9:
{"formula": "LiFe2Hg", "functional": "PBE", "state": "optimized geometry", "dos_at_fermi_per_ev_cell": 3.4, "e_form_kcal_per_mol_atoms": 8.1, "spacegroup": "No. 65", "cell": [[2.562, -4.223, 0.000], [2.562, 4.223, 0.000], [0.000, 0.000, 2.726]], "species": ["Li", "Fe", "Fe", "Hg"], "fractional_positions": [[0.000, 0.000, 0.000], [0.000, 0.500, 0.500], [0.500, 0.000, 0.500], [0.500, 0.500, 0.000]]}


Entry 10:
{"formula": "DyY2Hg2", "functional": "PBE", "state": "optimized geometry", "dos_at_fermi_per_ev_cell": 6.2, "e_form_kcal_per_mol_atoms": -9.4, "relative_energy_ev_per_atom": 0.000, "spacegroup": "No. 127", "cell": [[8.465, 0.000, 0.000], [0.000, 8.465, 0.000], [0.000, 0.000, 3.849]], "species": ["Dy", "Dy", "Y", "Y", "Y", "Y", "Hg", "Hg", "Hg", "Hg"], "fractional_positions": [[0.000, 0.000, 0.000], [0.500, 0.500, 0.000], [0.166, 0.334, 0.500], [0.334, 0.834, 0.500], [0.666, 0.166, 0.500], [0.834, 0.666, 0.500], [0.133, 0.633, 0.000], [0.367, 0.133, 0.000], [0.633, 0.867, 0.000], [0.867, 0.367, 0.000]]}


Entry 11:
{"formula": "Ba2CaP", "functional": "PBE", "state": "optimized geometry", "dos_at_fermi_per_ev_cell": 3.3, "e_form_kcal_per_mol_atoms": -12.4, "spacegroup": "No. 44", "cell": [[-2.011, 2.860, 7.073], [2.011, -2.860, 7.073], [2.011, 2.860, -7.073]], "species": ["Ba", "Ba", "Ca", "P"], "fractional_positions": [[0.000, 0.000, 0.000], [0.666, 0.166, 0.500], [0.341, 0.841, 0.500], [0.488, 0.488, 0.000]]}


Entry 12:
{"formula": "BaV2ZnHg", "functional": "PBE", "state": "optimized geometry", "dos_at_fermi_per_ev_cell": 4.6, "e_form_kcal_per_mol_atoms": 19.9, "spacegroup": "No. 123", "cell": [[5.355, 0.000, 0.000], [0.000, 5.355, 0.000], [0.000, 0.000, 4.998]], "species": ["Ba", "V", "V", "Zn", "Hg"], "fractional_positions": [[0.000, 0.000, 0.000], [0.000, 0.500, 0.500], [0.500, 0.000, 0.500], [0.500, 0.500, 0.000], [0.500, 0.500, 0.500]]}


Entry 13:
{"formula": "BaLa2Ru", "functional": "PBE", "state": "optimized geometry", "dos_at_fermi_per_ev_cell": 4.2, "e_form_kcal_per_mol_atoms": -1.5, "relative_energy_ev_per_atom": 0.120, "spacegroup": "No. 6", "cell": [[4.341, 0.000, 0.000], [0.000, 4.017, 0.000], [-2.170, 0.000, 8.802]], "species": ["Ba", "La", "La", "Ru"], "fractional_positions": [[0.000, 0.000, 0.000], [0.322, 0.500, 0.641], [0.681, 0.000, 0.360], [0.186, 0.500, 0.369]]}


Entry 14:
{"formula": "Sr3HgPd2", "functional": "PBE", "state": "optimized geometry", "dos_at_fermi_per_ev_cell": 2.5, "e_form_kcal_per_mol_atoms": -9.0, "spacegroup": "No. 65", "cell": [[2.197, -9.115, 0.000], [2.197, 9.115, 0.000], [0.000, 0.000, 4.568]], "species": ["Sr", "Sr", "Sr", "Hg", "Pd", "Pd"], "fractional_positions": [[0.000, 0.000, 0.000], [0.162, 0.838, 0.500], [0.838, 0.162, 0.500], [0.500, 0.500, 0.500], [0.375, 0.625, 0.000], [0.625, 0.375, 0.000]]}


Entry 15:
{"formula": "Sm3Ho5Th2", "functional": "PBE", "state": "optimized geometry", "dos_at_fermi_per_ev_cell": 28.7, "e_form_kcal_per_mol_atoms": 4.9, "spacegroup": "No. 15", "cell": [[5.374, -8.566, 0.000], [5.374, 8.566, 0.000], [-5.365, 0.000, 7.165]], "species": ["Sm", "Sm", "Sm", "Sm", "Sm", "Sm", "Ho", "Ho", "Ho", "Ho", "Ho", "Ho", "Ho", "Ho", "Ho", "Ho", "Th", "Th", "Th", "Th"], "fractional_positions": [[0.022, 0.268, 0.039], [0.222, 0.778, 0.750], [0.268, 0.022, 0.539], [0.732, 0.978, 0.461], [0.778, 0.222, 0.250], [0.978, 0.732, 0.961], [0.031, 0.969, 0.750], [0.133, 0.364, 0.751], [0.279, 0.721, 0.250], [0.364, 0.133, 0.251], [0.467, 0.533, 0.250], [0.533, 0.467, 0.750], [0.636, 0.867, 0.749], [0.721, 0.279, 0.750], [0.867, 0.636, 0.249], [0.969, 0.031, 0.250], [0.241, 0.485, 0.475], [0.485, 0.241, 0.975], [0.515, 0.759, 0.025], [0.759, 0.515, 0.525]]}


Entry 16:
{"formula": "YAl", "functional": "PBE", "state": "optimized geometry", "dos_at_fermi_per_ev_cell": 9.4, "e_form_kcal_per_mol_atoms": -3.6, "spacegroup": "No. 164", "cell": [[5.014, 0.000, 0.000], [-2.507, 4.342, 0.000], [0.000, 0.000, 14.311]], "species": ["Y", "Y", "Y", "Y", "Y", "Y", "Al", "Al", "Al", "Al", "Al", "Al"], "fractional_positions": [[0.000, 0.000, 0.215], [0.000, 0.000, 0.785], [0.333, 0.667, 0.068], [0.333, 0.667, 0.418], [0.667, 0.333, 0.582], [0.667, 0.333, 0.932], [0.000, 0.000, 0.414], [0.000, 0.000, 0.586], [0.333, 0.667, 0.673], [0.333, 0.667, 0.856], [0.667, 0.333, 0.144], [0.667, 0.333, 0.327]]}


Entry 17:
{"formula": "NiSb2Pt2", "functional": "PBE", "state": "optimized geometry", "dos_at_fermi_per_ev_cell": 7.5, "formation_energy_uncorrected_mev_per_atom": -43, "spacegroup": "No. 127", "cell": [[7.060, 0.000, 0.000], [0.000, 7.060, 0.000], [0.000, 0.000, 3.803]], "species": ["Ni", "Ni", "Sb", "Sb", "Sb", "Sb", "Pt", "Pt", "Pt", "Pt"], "fractional_positions": [[0.000, 0.000, 0.000], [0.500, 0.500, 0.000], [0.169, 0.331, 0.500], [0.331, 0.831, 0.500], [0.669, 0.169, 0.500], [0.831, 0.669, 0.500], [0.141, 0.641, 0.000], [0.359, 0.141, 0.000], [0.641, 0.859, 0.000], [0.859, 0.359, 0.000]]}


Entry 18:
{"formula": "K2Sm2USe6", "functional": "PBE", "state": "optimized geometry", "dos_at_fermi_per_ev_cell": 6.9, "formation_energy_uncorrected_mev_per_atom": -1588, "spacegroup": "No. 12", "cell": [[3.681, -6.333, 0.000], [3.681, 6.333, 0.000], [-2.485, 0.000, 7.834]], "species": ["K", "K", "Sm", "Sm", "U", "Se", "Se", "Se", "Se", "Se", "Se"], "fractional_positions": [[0.169, 0.831, 0.000], [0.831, 0.169, 0.000], [0.334, 0.666, 0.500], [0.666, 0.334, 0.500], [0.000, 0.000, 0.500], [0.068, 0.393, 0.703], [0.254, 0.254, 0.298], [0.393, 0.068, 0.703], [0.607, 0.932, 0.297], [0.746, 0.746, 0.702], [0.932, 0.607, 0.297]]}


Entry 19:
{"formula": "Nb13Re2", "functional": "PBE", "state": "optimized geometry", "dos_at_fermi_per_ev_cell": 15.1, "e_form_kcal_per_mol_atoms": 2.2, "spacegroup": "No. 2", "cell": [[5.479, 0.000, 0.000], [0.883, 7.098, 0.000], [0.902, 0.946, 7.128]], "species": ["Nb", "Nb", "Nb", "Nb", "Nb", "Nb", "Nb", "Nb", "Nb", "Nb", "Nb", "Nb", "Nb", "Re", "Re"], "fractional_positions": [[0.000, 0.000, 0.000], [0.004, 0.244, 0.259], [0.132, 0.622, 0.129], [0.251, 0.494, 0.504], [0.367, 0.368, 0.874], [0.370, 0.877, 0.374], [0.489, 0.762, 0.763], [0.511, 0.238, 0.237], [0.630, 0.123, 0.626], [0.633, 0.632, 0.126], [0.749, 0.506, 0.496], [0.868, 0.378, 0.871], [0.996, 0.756, 0.741], [0.129, 0.126, 0.615], [0.871, 0.874, 0.385]]}


Entry 20:
{"formula": "AcNdZn", "functional": "PBE", "state": "optimized geometry", "dos_at_fermi_per_ev_cell": 4.6, "e_form_kcal_per_mol_atoms": -0.3, "relative_energy_ev_per_atom": 0.154, "spacegroup": "No. 156", "cell": [[5.307, 0.000, 0.000], [-2.653, 4.596, 0.000], [0.000, 0.000, 3.884]], "species": ["Ac", "Nd", "Zn"], "fractional_positions": [[0.000, 0.000, 0.000], [0.667, 0.333, 0.539], [0.333, 0.667, 0.408]]}


Entry 21:
{"formula": "HgAs2Cl6", "functional": "PBE", "state": "optimized geometry", "dos_at_fermi_per_ev_cell": 0.0, "relative_energy_ev_per_atom": 0.000, "formation_energy_uncorrected_mev_per_atom": -621, "spacegroup": "No. 15", "cell": [[8.010, -8.585, 0.000], [8.010, 8.585, 0.000], [-1.145, 0.000, 5.532]], "species": ["Hg", "Hg", "As", "As", "As", "As", "Cl", "Cl", "Cl", "Cl", "Cl", "Cl", "Cl", "Cl", "Cl", "Cl", "Cl", "Cl"], "fractional_positions": [[0.058, 0.942, 0.750], [0.942, 0.058, 0.250], [0.246, 0.486, 0.334], [0.486, 0.246, 0.834], [0.514, 0.754, 0.166], [0.754, 0.514, 0.666], [0.124, 0.330, 0.229], [0.126, 0.620, 0.318], [0.310, 0.493, 0.978], [0.330, 0.124, 0.729], [0.380, 0.874, 0.182], [0.493, 0.310, 0.478], [0.507, 0.690, 0.522], [0.620, 0.126, 0.818], [0.670, 0.876, 0.271], [0.690, 0.507, 0.022], [0.874, 0.380, 0.682], [0.876, 0.670, 0.771]]}


Entry 22:
{"formula": "SiHg2Rh", "functional": "PBE", "state": "optimized geometry", "dos_at_fermi_per_ev_cell": 1.2, "formation_energy_uncorrected_mev_per_atom": 310, "spacegroup": "No. 119", "cell": [[-2.070, 2.070, 4.197], [2.070, -2.070, 4.197], [2.070, 2.070, -4.197]], "species": ["Si", "Hg", "Hg", "Rh"], "fractional_positions": [[0.000, 0.000, 0.000], [0.250, 0.750, 0.500], [0.500, 0.500, 0.000], [0.750, 0.250, 0.500]]}


Entry 23:
{"formula": "YSc5Al4", "functional": "PBE", "state": "optimized geometry", "dos_at_fermi_per_ev_cell": 7.2, "e_form_kcal_per_mol_atoms": -8.2, "spacegroup": "No. 123", "cell": [[3.365, 0.000, 0.000], [0.000, 3.365, 0.000], [0.000, 0.000, 18.662]], "species": ["Y", "Sc", "Sc", "Sc", "Sc", "Sc", "Al", "Al", "Al", "Al"], "fractional_positions": [[0.000, 0.000, 0.000], [0.500, 0.500, 0.133], [0.500, 0.500, 0.317], [0.500, 0.500, 0.500], [0.500, 0.500, 0.683], [0.500, 0.500, 0.867], [0.000, 0.000, 0.225], [0.000, 0.000, 0.409], [0.000, 0.000, 0.591], [0.000, 0.000, 0.775]]}


Entry 24:
{"formula": "RbTaTlBr6", "functional": "PBE", "state": "optimized geometry", "dos_at_fermi_per_ev_cell": 13.6, "formation_energy_uncorrected_mev_per_atom": -1046, "spacegroup": "No. 163", "cell": [[7.979, 0.000, 0.000], [-3.989, 6.910, 0.000], [0.000, 0.000, 13.403]], "species": ["Rb", "Rb", "Ta", "Ta", "Tl", "Tl", "Br", "Br", "Br", "Br", "Br", "Br", "Br", "Br", "Br", "Br", "Br", "Br"], "fractional_positions": [[0.000, 0.000, 0.000], [0.000, 0.000, 0.500], [0.333, 0.667, 0.250], [0.667, 0.333, 0.750], [0.333, 0.667, 0.750], [0.667, 0.333, 0.250], [0.067, 0.404, 0.138], [0.067, 0.663, 0.362], [0.337, 0.404, 0.362], [0.337, 0.933, 0.138], [0.404, 0.067, 0.638], [0.404, 0.337, 0.862], [0.596, 0.663, 0.138], [0.596, 0.933, 0.362], [0.663, 0.067, 0.862], [0.663, 0.596, 0.638], [0.933, 0.337, 0.638], [0.933, 0.596, 0.862]]}